VASP calculation (PBE with a Hubbard U) on an optimized crystal structure of Rb6Co2O7.

Cell and atoms, written as POSCAR:
```
Rb6Co2O7
1.0
-6.4691 -5.4880 -4.5825
8.0586 2.7487 -4.5244
4.6764 -8.2714 3.3041
Rb O Co
12 14 4
direct
0.3881 0.3489 0.6271 Rb
0.9608 0.6119 0.6271 Rb
0.6642 0.0315 0.1238 Rb
0.3489 0.9608 0.3729 Rb
0.0315 0.3673 0.8762 Rb
0.6511 0.0392 0.6271 Rb
0.3673 0.3358 0.1238 Rb
0.0392 0.3881 0.3729 Rb
0.9685 0.6327 0.1238 Rb
0.6119 0.6511 0.3729 Rb
0.3358 0.9685 0.8762 Rb
0.6327 0.6642 0.8762 Rb
0.4760 0.3034 0.3713 O
0.8274 0.5240 0.3713 O
0.5200 0.6888 0.1206 O
0.6667 0.3333 0.1259 O
0.3112 0.8312 0.1206 O
0.5240 0.6966 0.6287 O
0.1726 0.4760 0.6287 O
0.6888 0.1688 0.8794 O
0.4800 0.3112 0.8794 O
0.3034 0.8274 0.6287 O
0.8312 0.5200 0.8794 O
0.3333 0.6667 0.8741 O
0.1688 0.4800 0.1206 O
0.6966 0.1726 0.3713 O
0.6667 0.3333 0.9355 Co
0.3333 0.6667 0.6848 Co
0.6667 0.3333 0.3152 Co
0.3333 0.6667 0.0645 Co
```

excess energy over the best structure of this formula in the dataset = 0.032 eV per atom